{
  "formula": "Mn2Ag2Cl2F5",
  "functional": "PBE with a Hubbard U",
  "state": "optimized geometry",
  "final_energy_ev_per_atom": -4.799,
  "sg": "I4/mmm (139)",
  "crystal_system": "tetragonal",
  "cell": [[-3.516, -1.662, 0.504], [1.722, -3.184, 1.511], [0.146, 7.546, 10.643]],
  "species": ["Ag", "F", "F", "Cl", "F", "Ag", "Mn", "F", "Cl", "F", "Mn"],
  "fractional_positions": [[0.309, 0.309, 0.618], [0.909, 0.409, 0.818], [0.091, 0.591, 0.182], [0.804, 0.804, 0.609], [0.591, 0.091, 0.182], [0.691, 0.691, 0.382], [0.921, 0.921, 0.842], [0.000, 0.000, 0.000], [0.196, 0.196, 0.391], [0.409, 0.909, 0.818], [0.079, 0.079, 0.158]]
}